{
  "formula": "Ta3Ni3Ru2",
  "functional": "GGA-PBE",
  "state": "optimized geometry",
  "lattice_angstrom": [[-0.4177, -2.2279, 2.0682], [-3.9572, -3.2912, -4.3445], [6.6315, -1.1765, 0.0720]],
  "species": ["Ru", "Ru", "Ta", "Ta", "Ta", "Ni", "Ni", "Ni"],
  "fractional_positions": [[0.0000, 0.6667, 0.3333], [0.0000, 0.3333, 0.6667], [0.5000, 0.3652, 0.3652], [0.5000, 0.0000, 0.6348], [0.5000, 0.6348, 0.0000], [0.0000, 0.2191, 0.0000], [0.0000, 0.0000, 0.2191], [0.0000, 0.7809, 0.7809]],
  "energy_ev_per_atom": -9.04,
  "crystal_system": "hexagonal",
  "spacegroup": "P-62m (189)",
  "formation_energy_ev_per_atom": -0.112,
  "dos_ef_per_ev_atom": 0.861
}


{
  "formula": "Ta2Ni2Ru",
  "functional": "GGA-PBE",
  "state": "optimized geometry",
  "lattice_angstrom": [[6.7632, 0.0000, 0.0000], [0.0000, 6.7632, 0.0000], [0.0000, 0.0000, 3.1389]],
  "species": ["Ta", "Ta", "Ta", "Ta", "Ni", "Ni", "Ni", "Ni", "Ru", "Ru"],
  "fractional_positions": [[0.8199, 0.3199, 0.5000], [0.1801, 0.6801, 0.5000], [0.6801, 0.8199, 0.5000], [0.3199, 0.1801, 0.5000], [0.8775, 0.6225, 0.0000], [0.1225, 0.3775, 0.0000], [0.6225, 0.1225, 0.0000], [0.3775, 0.8775, 0.0000], [0.0000, 0.0000, 0.0000], [0.5000, 0.5000, 0.0000]],
  "de_polymorph_mev_per_atom": 0,
  "energy_ev_per_atom": -9.17,
  "crystal_system": "tetragonal",
  "spacegroup": "P4/mbm (127)",
  "formation_energy_ev_per_atom": -0.263,
  "dos_ef_per_ev_atom": 0.797
}


{
  "formula": "Ta2NiRu",
  "functional": "GGA-PBE",
  "state": "optimized geometry",
  "lattice_angstrom": [[6.4407, -0.0047, -0.0127], [-2.5153, 3.8173, 0.0026], [1.4101, 0.9341, 2.4972]],
  "species": ["Ta", "Ta", "Ni", "Ru"],
  "fractional_positions": [[0.5000, 0.0000, 0.5000], [0.0000, 0.0000, 0.0000], [0.0000, 0.5000, 0.5000], [0.5000, 0.5000, 0.0000]],
  "energy_ev_per_atom": -9.92,
  "crystal_system": "monoclinic",
  "spacegroup": "C2/m (12)",
  "formation_energy_ev_per_atom": -0.225,
  "dos_ef_per_ev_atom": 0.929
}


> Which formula does entry 3 have?

Ta2NiRu